(1)
The following is a DFT calculation (PBE) of SrSc4Te6 after structural relaxation.

Cell: 7.2130 7.2130 21.8272 Å, 90.00 90.00 145.89°
Element x y z (fractional)
Sr 0.1570 0.8430 0.7500
Sr 0.8430 0.1570 0.2500
Sc 0.0923 0.9077 0.1251
Sc 0.0923 0.9077 0.3749
Sc 0.3585 0.6415 0.0364
Sc 0.3585 0.6415 0.4636
Sc 0.6415 0.3585 0.5364
Sc 0.6415 0.3585 0.9636
Sc 0.9077 0.0923 0.6251
Sc 0.9077 0.0923 0.8749
Te 0.0000 0.0000 0.0000
Te 0.0000 0.0000 0.5000
Te 0.1623 0.8377 0.2500
Te 0.2684 0.7316 0.5869
Te 0.2684 0.7316 0.9131
Te 0.4553 0.5447 0.1556
Te 0.4553 0.5447 0.3444
Te 0.5447 0.4553 0.6556
Te 0.5447 0.4553 0.8444
Te 0.7316 0.2684 0.0869
Te 0.7316 0.2684 0.4131
Te 0.8377 0.1623 0.7500

Properties
Theoretical density ... 5.39 Mg/m³
Magnetic moment ... 0.000 μB per atom
Uncorrected formation energy ... -1275 meV/atom
SG ... No. 63

***

(2)
The following is a DFT calculation (PBE) of SrSc2Te4 after structural relaxation.

Cell: 13.2892 4.2579 15.4588 Å, 90.00 90.00 90.00°
Element x y z (fractional)
Sr 0.2382 0.2500 0.1735
Sr 0.2618 0.7500 0.6735
Sr 0.7382 0.2500 0.3265
Sr 0.7618 0.7500 0.8265
Sc 0.0535 0.2500 0.3881
Sc 0.0843 0.2500 0.9061
Sc 0.4157 0.7500 0.4061
Sc 0.4465 0.7500 0.8881
Sc 0.5535 0.2500 0.1119
Sc 0.5843 0.2500 0.5939
Sc 0.9157 0.7500 0.0939
Sc 0.9465 0.7500 0.6119
Te 0.0319 0.7500 0.7859
Te 0.0929 0.2500 0.5735
Te 0.1245 0.7500 0.0324
Te 0.2020 0.7500 0.3428
Te 0.2980 0.2500 0.8428
Te 0.3755 0.2500 0.5324
Te 0.4071 0.7500 0.0735
Te 0.4681 0.2500 0.2859
Te 0.5319 0.7500 0.7141
Te 0.5929 0.2500 0.9265
Te 0.6245 0.7500 0.4676
Te 0.7020 0.7500 0.1572
Te 0.7980 0.2500 0.6572
Te 0.8755 0.2500 0.9676
Te 0.9071 0.7500 0.4265
Te 0.9681 0.2500 0.2141

Properties
Theoretical density ... 5.22 Mg/m³
Magnetic moment ... 0.000 μB per atom
Distance to the lowest polymorph of the same formula ... 0 meV/atom
Uncorrected formation energy ... -1373 meV/atom
SG ... No. 62

***

(3)
The following is a DFT calculation (PBE) of SrScTe after structural relaxation.

Cell: 4.1544 4.1544 6.9931 Å, 90.00 90.00 120.00°
Element x y z (fractional)
Sr 0.0000 0.0000 0.0000
Sc 0.3333 0.6667 0.5685
Te 0.6667 0.3333 0.3333

Properties
Theoretical density ... 4.13 Mg/m³
Magnetic moment ... 0.348 μB per atom
Distance to the lowest polymorph of the same formula ... 19 meV/atom
Uncorrected formation energy ... -676 meV/atom
SG ... No. 156

***

(4)
The following is a DFT calculation (PBE) of Sr3ScTe after structural relaxation.

Cell: 6.1943 6.1943 6.1943 Å, 90.00 90.00 90.00°
Element x y z (fractional)
Sr 0.0000 0.0000 0.5000
Sr 0.0000 0.5000 0.0000
Sr 0.5000 0.0000 0.0000
Sc 0.0000 0.0000 0.0000
Te 0.5000 0.5000 0.5000

Properties
Theoretical density ... 3.04 Mg/m³
Magnetic moment ... 0.901 μB per atom
Distance to the lowest polymorph of the same formula ... 498 meV/atom
Uncorrected formation energy ... 382 meV/atom
SG ... No. 221

***

(5)
The following is a DFT calculation (PBE) of Sr3ScTe after structural relaxation.

Cell: 6.2610 6.2610 6.2610 Å, 90.00 90.00 90.00°
Element x y z (fractional)
Sr 0.0000 0.0000 0.5000
Sr 0.0000 0.5000 0.0000
Sr 0.5000 0.0000 0.0000
Sc 0.5000 0.5000 0.5000
Te 0.0000 0.0000 0.0000

Properties
Theoretical density ... 2.95 Mg/m³
Magnetic moment ... 0.533 μB per atom
Distance to the lowest polymorph of the same formula ... 0 meV/atom
Uncorrected formation energy ... -116 meV/atom
SG ... No. 221

***

(6)
The following is a DFT calculation (PBE) of Sr2Sc2Te after structural relaxation.

Cell: 4.5547 4.5547 16.9124 Å, 90.00 90.00 90.00°
Element x y z (fractional)
Sr 0.0000 0.5000 0.2500
Sr 0.0000 0.5000 0.7500
Sr 0.5000 0.0000 0.2500
Sr 0.5000 0.0000 0.7500
Sc 0.0000 0.0000 0.0791
Sc 0.0000 0.0000 0.9209
Sc 0.5000 0.5000 0.4209
Sc 0.5000 0.5000 0.5791
Te 0.0000 0.0000 0.5000
Te 0.5000 0.5000 0.0000

Properties
Theoretical density ... 3.72 Mg/m³
Magnetic moment ... 0.318 μB per atom
Distance to the lowest polymorph of the same formula ... 634 meV/atom
Uncorrected formation energy ... 425 meV/atom
SG ... No. 139

***

(7)
The following is a DFT calculation (PBE) of Sr2Sc2Te after structural relaxation.

Cell: 7.7807 7.7807 5.6683 Å, 90.00 90.00 90.00°
Element x y z (fractional)
Sr 0.1635 0.3365 0.0000
Sr 0.3365 0.8365 0.0000
Sr 0.6635 0.1635 0.0000
Sr 0.8365 0.6635 0.0000
Sc 0.1441 0.6441 0.5000
Sc 0.3559 0.1441 0.5000
Sc 0.6441 0.8559 0.5000
Sc 0.8559 0.3559 0.5000
Te 0.0000 0.0000 0.5000
Te 0.5000 0.5000 0.5000

Properties
Theoretical density ... 3.80 Mg/m³
Magnetic moment ... 0.084 μB per atom
Distance to the lowest polymorph of the same formula ... 0 meV/atom
Uncorrected formation energy ... -208 meV/atom
SG ... No. 127

***

(8)
The following is a DFT calculation (PBE) of SrScTe after structural relaxation.

Cell: 7.7370 7.7370 7.7370 Å, 90.00 90.00 90.00°
Element x y z (fractional)
Sr 0.0000 0.0000 0.0000
Sr 0.0000 0.5000 0.5000
Sr 0.5000 0.0000 0.5000
Sr 0.5000 0.5000 0.0000
Sc 0.2500 0.2500 0.7500
Sc 0.2500 0.7500 0.2500
Sc 0.7500 0.2500 0.2500
Sc 0.7500 0.7500 0.7500
Te 0.2500 0.2500 0.2500
Te 0.2500 0.7500 0.7500
Te 0.7500 0.2500 0.7500
Te 0.7500 0.7500 0.2500

Properties
Theoretical density ... 3.73 Mg/m³
Magnetic moment ... 0.569 μB per atom
Distance to the lowest polymorph of the same formula ... 848 meV/atom
Uncorrected formation energy ... 153 meV/atom
SG ... No. 216

***

(9)
The following is a DFT calculation (PBE) of SrSc2Tl3Te6 after structural relaxation.

Cell: 7.7497 7.7497 8.2734 Å, 99.32 99.32 120.41°
Element x y z (fractional)
Sr 0.0000 0.0000 0.0000
Sc 0.3260 0.6740 0.0000
Sc 0.6740 0.3260 0.0000
Tl 0.1526 0.8474 0.5000
Tl 0.5000 0.5000 0.5000
Tl 0.8474 0.1526 0.5000
Te 0.0747 0.4400 0.2184
Te 0.3026 0.3026 0.8007
Te 0.4400 0.0747 0.2184
Te 0.5600 0.9253 0.7816
Te 0.6974 0.6974 0.1993
Te 0.9253 0.5600 0.7816

Properties
Theoretical density ... 6.38 Mg/m³
Magnetic moment ... 0.000 μB per atom
Uncorrected formation energy ... -912 meV/atom
SG ... No. 12

***

(10)
The following is a DFT calculation (PBE) of Sr3Y3ScTe8 after structural relaxation.

Cell: 9.1902 9.1902 9.1902 Å, 57.47 57.47 57.47°
Element x y z (fractional)
Sr 0.0000 0.5000 0.5000
Sr 0.5000 0.0000 0.5000
Sr 0.5000 0.5000 0.0000
Y 0.0000 0.0000 0.5000
Y 0.0000 0.5000 0.0000
Y 0.5000 0.0000 0.0000
Sc 0.5000 0.5000 0.5000
Te 0.2440 0.2440 0.2440
Te 0.2483 0.7380 0.7380
Te 0.2620 0.2620 0.7517
Te 0.2620 0.7517 0.2620
Te 0.7380 0.2483 0.7380
Te 0.7380 0.7380 0.2483
Te 0.7517 0.2620 0.2620
Te 0.7560 0.7560 0.7560

Properties
Theoretical density ... 5.12 Mg/m³
Magnetic moment ... 0.000 μB per atom
Uncorrected formation energy ... -1493 meV/atom
SG ... No. 166

***

(11)
The following is a DFT calculation (PBE) of SrTh2Sc after structural relaxation.

Cell: 3.4963 3.4963 38.1886 Å, 90.00 90.00 120.00°
Element x y z (fractional)
Sr 0.0000 0.0000 0.0000
Sr 0.3333 0.6667 0.6667
Sr 0.6667 0.3333 0.3333
Th 0.0000 0.0000 0.0934
Th 0.0000 0.0000 0.9066
Th 0.3333 0.6667 0.5732
Th 0.3333 0.6667 0.7601
Th 0.6667 0.3333 0.2399
Th 0.6667 0.3333 0.4268
Sc 0.0000 0.0000 0.5000
Sc 0.3333 0.6667 0.1667
Sc 0.6667 0.3333 0.8333

Properties
Theoretical density ... 7.35 Mg/m³
Magnetic moment ... 0.000 μB per atom
SG ... No. 166
ΔE_f ... 0.326 eV/atom

***

(12)
The following is a DFT calculation (PBE) of SrScTi2 after structural relaxation.

Cell: 7.3823 7.3823 7.3823 Å, 90.00 90.00 90.00°
Element x y z (fractional)
Sr 0.0000 0.0000 0.0000
Sr 0.0000 0.5000 0.5000
Sr 0.5000 0.0000 0.5000
Sr 0.5000 0.5000 0.0000
Sc 0.0000 0.0000 0.5000
Sc 0.0000 0.5000 0.0000
Sc 0.5000 0.0000 0.0000
Sc 0.5000 0.5000 0.5000
Ti 0.2500 0.2500 0.2500
Ti 0.2500 0.2500 0.7500
Ti 0.2500 0.7500 0.2500
Ti 0.2500 0.7500 0.7500
Ti 0.7500 0.2500 0.2500
Ti 0.7500 0.2500 0.7500
Ti 0.7500 0.7500 0.2500
Ti 0.7500 0.7500 0.7500

Properties
Theoretical density ... 3.77 Mg/m³
Magnetic moment ... 1.132 μB per atom
Distance to the lowest polymorph of the same formula ... 0 meV/atom
SG ... No. 225
ΔE_f ... 0.705 eV/atom

***

(13)
The following is a DFT calculation (PBE) of SrScTi2 after structural relaxation.

Cell: 4.7422 4.7422 21.2797 Å, 90.00 90.00 90.00°
Element x y z (fractional)
Sr 0.0000 0.2500 0.3750
Sr 0.0000 0.7500 0.6250
Sr 0.5000 0.2500 0.1250
Sr 0.5000 0.7500 0.8750
Sc 0.0000 0.2500 0.8750
Sc 0.0000 0.7500 0.1250
Sc 0.5000 0.2500 0.6250
Sc 0.5000 0.7500 0.3750
Ti 0.0000 0.0000 0.0000
Ti 0.0000 0.5000 0.0000
Ti 0.2500 0.2500 0.7500
Ti 0.2500 0.7500 0.2500
Ti 0.5000 0.0000 0.5000
Ti 0.5000 0.5000 0.5000
Ti 0.7500 0.2500 0.7500
Ti 0.7500 0.7500 0.2500

Properties
Theoretical density ... 3.17 Mg/m³
Magnetic moment ... 0.000 μB per atom
Distance to the lowest polymorph of the same formula ... 280 meV/atom
SG ... No. 141
ΔE_f ... 0.985 eV/atom

***

(14)
The following is a DFT calculation (PBE) of Sr3ScTi after structural relaxation.

Cell: 5.9086 5.9086 5.9086 Å, 90.00 90.00 90.00°
Element x y z (fractional)
Sr 0.0000 0.0000 0.5000
Sr 0.0000 0.5000 0.0000
Sr 0.5000 0.0000 0.0000
Sc 0.5000 0.5000 0.5000
Ti 0.0000 0.0000 0.0000

Properties
Theoretical density ... 2.86 Mg/m³
Magnetic moment ... 0.000 μB per atom
SG ... No. 221
ΔE_f ... 0.966 eV/atom

***

(15)
The following is a DFT calculation (PBE) of Sr2ScTi after structural relaxation.

Cell: 8.1504 8.1504 8.1504 Å, 90.00 90.00 90.00°
Element x y z (fractional)
Sr 0.2500 0.2500 0.2500
Sr 0.2500 0.2500 0.7500
Sr 0.2500 0.7500 0.2500
Sr 0.2500 0.7500 0.7500
Sr 0.7500 0.2500 0.2500
Sr 0.7500 0.2500 0.7500
Sr 0.7500 0.7500 0.2500
Sr 0.7500 0.7500 0.7500
Sc 0.0000 0.0000 0.0000
Sc 0.0000 0.5000 0.5000
Sc 0.5000 0.0000 0.5000
Sc 0.5000 0.5000 0.0000
Ti 0.0000 0.0000 0.5000
Ti 0.0000 0.5000 0.0000
Ti 0.5000 0.0000 0.0000
Ti 0.5000 0.5000 0.5000

Properties
Theoretical density ... 3.29 Mg/m³
Magnetic moment ... 0.731 μB per atom
Distance to the lowest polymorph of the same formula ... 0 meV/atom
SG ... No. 225
ΔE_f ... 0.695 eV/atom

***

(16)
The following is a DFT calculation (PBE) of Sr2ScTi after structural relaxation.

Cell: 9.0292 9.0292 6.6186 Å, 90.00 90.00 90.00°
Element x y z (fractional)
Sr 0.2396 0.2500 0.1250
Sr 0.2500 0.7396 0.3750
Sr 0.2500 0.7604 0.8750
Sr 0.2604 0.2500 0.6250
Sr 0.7396 0.7500 0.6250
Sr 0.7500 0.2396 0.8750
Sr 0.7500 0.2604 0.3750
Sr 0.7604 0.7500 0.1250
Sc 0.0000 0.0000 0.5000
Sc 0.0000 0.5000 0.7500
Sc 0.5000 0.0000 0.2500
Sc 0.5000 0.5000 0.0000
Ti 0.0000 0.0000 0.0000
Ti 0.0000 0.5000 0.2500
Ti 0.5000 0.0000 0.7500
Ti 0.5000 0.5000 0.5000

Properties
Theoretical density ... 3.30 Mg/m³
Magnetic moment ... 0.749 μB per atom
Distance to the lowest polymorph of the same formula ... 173 meV/atom
SG ... No. 122
ΔE_f ... 0.867 eV/atom

***

(17)
The following is a DFT calculation (PBE) of SrScTl after structural relaxation.

Cell: 5.2815 5.2815 7.7679 Å, 90.00 90.00 90.00°
Element x y z (fractional)
Sr 0.2500 0.2500 0.1721
Sr 0.7500 0.7500 0.8279
Sc 0.2500 0.2500 0.6610
Sc 0.7500 0.7500 0.3390
Tl 0.2500 0.7500 0.5000
Tl 0.7500 0.2500 0.5000

Properties
Theoretical density ... 5.16 Mg/m³
Magnetic moment ... 0.197 μB per atom
SG ... No. 129
ΔE_f ... -0.019 eV/atom

***

(18)
The following is a DFT calculation (PBE) of SrScTl after structural relaxation.

Cell: 3.7574 3.7574 7.9964 Å, 90.00 90.00 120.00°
Element x y z (fractional)
Sr 0.0000 0.0000 0.0000
Sc 0.3333 0.6667 0.6077
Tl 0.6667 0.3333 0.3357

Properties
Theoretical density ... 5.72 Mg/m³
Magnetic moment ... 0.000 μB per atom
SG ... No. 156
ΔE_f ... 0.040 eV/atom

***

(19)
The following is a DFT calculation (PBE) of SrScTl2 after structural relaxation.

Cell: 7.8606 7.8606 7.8606 Å, 90.00 90.00 90.00°
Element x y z (fractional)
Sr 0.0000 0.0000 0.0000
Sr 0.0000 0.5000 0.5000
Sr 0.5000 0.0000 0.5000
Sr 0.5000 0.5000 0.0000
Sc 0.2500 0.2500 0.7500
Sc 0.2500 0.7500 0.2500
Sc 0.7500 0.2500 0.2500
Sc 0.7500 0.7500 0.7500
Tl 0.0000 0.0000 0.5000
Tl 0.0000 0.5000 0.0000
Tl 0.2500 0.2500 0.2500
Tl 0.2500 0.7500 0.7500
Tl 0.5000 0.0000 0.0000
Tl 0.5000 0.5000 0.5000
Tl 0.7500 0.2500 0.7500
Tl 0.7500 0.7500 0.2500

Properties
Theoretical density ... 7.40 Mg/m³
Magnetic moment ... 0.003 μB per atom
SG ... No. 216
ΔE_f ... 0.119 eV/atom

***

(20)
The following is a DFT calculation (PBE) of SrSc2Tl after structural relaxation.

Cell: 3.7051 3.7051 8.5755 Å, 90.00 90.00 90.00°
Element x y z (fractional)
Sr 0.0000 0.0000 0.0000
Sc 0.0000 0.0000 0.4686
Sc 0.5000 0.5000 0.6774
Tl 0.5000 0.5000 0.2757

Properties
Theoretical density ... 5.39 Mg/m³
Magnetic moment ... 0.283 μB per atom
Distance to the lowest polymorph of the same formula ... 0 meV/atom
SG ... No. 99
ΔE_f ... -0.062 eV/atom

***

(21)
The following is a DFT calculation (PBE) of SrScTl after structural relaxation.

Cell: 3.7610 3.7610 13.5283 Å, 90.00 90.00 90.00°
Element x y z (fractional)
Sr 0.0000 0.0000 0.0000
Sr 0.5000 0.5000 0.2575
Sc 0.5000 0.5000 0.5473
Sc 0.5000 0.5000 0.7966
Tl 0.0000 0.0000 0.4245
Tl 0.0000 0.0000 0.6797

Properties
Theoretical density ... 5.85 Mg/m³
Magnetic moment ... 0.000 μB per atom
SG ... No. 99
ΔE_f ... -0.117 eV/atom

***

(22)
The following is a DFT calculation (PBE) of SrSc2Tl after structural relaxation.

Cell: 7.5713 7.5713 7.5713 Å, 90.00 90.00 90.00°
Element x y z (fractional)
Sr 0.0000 0.0000 0.0000
Sr 0.0000 0.5000 0.5000
Sr 0.5000 0.0000 0.5000
Sr 0.5000 0.5000 0.0000
Sc 0.2500 0.2500 0.2500
Sc 0.2500 0.2500 0.7500
Sc 0.2500 0.7500 0.2500
Sc 0.2500 0.7500 0.7500
Sc 0.7500 0.2500 0.2500
Sc 0.7500 0.2500 0.7500
Sc 0.7500 0.7500 0.2500
Sc 0.7500 0.7500 0.7500
Tl 0.0000 0.0000 0.5000
Tl 0.0000 0.5000 0.0000
Tl 0.5000 0.0000 0.0000
Tl 0.5000 0.5000 0.5000

Properties
Theoretical density ... 5.84 Mg/m³
Magnetic moment ... 0.285 μB per atom
Distance to the lowest polymorph of the same formula ... 207 meV/atom
SG ... No. 225
ΔE_f ... 0.145 eV/atom

***

(23)
The following is a DFT calculation (PBE) of SrSc2Tl after structural relaxation.

Cell: 4.8080 4.8080 4.8148 Å, 90.00 90.00 90.00°
Element x y z (fractional)
Sr 0.0000 0.0000 0.0000
Sc 0.0000 0.5000 0.5000
Sc 0.5000 0.0000 0.5000
Tl 0.5000 0.5000 0.0000

Properties
Theoretical density ... 5.70 Mg/m³
Magnetic moment ... 0.191 μB per atom
Distance to the lowest polymorph of the same formula ... 90 meV/atom
SG ... No. 123
ΔE_f ... 0.028 eV/atom

***

(24)
The following is a DFT calculation (PBE) of Sr2Sc2Tl after structural relaxation.

Cell: 7.7896 7.7896 5.6635 Å, 90.00 90.00 90.00°
Element x y z (fractional)
Sr 0.1704 0.3296 0.0000
Sr 0.3296 0.8296 0.0000
Sr 0.6704 0.1704 0.0000
Sr 0.8296 0.6704 0.0000
Sc 0.1441 0.6441 0.5000
Sc 0.3559 0.1441 0.5000
Sc 0.6441 0.8559 0.5000
Sc 0.8559 0.3559 0.5000
Tl 0.0000 0.0000 0.5000
Tl 0.5000 0.5000 0.5000

Properties
Theoretical density ... 4.54 Mg/m³
Magnetic moment ... 0.122 μB per atom
SG ... No. 127
ΔE_f ... 0.120 eV/atom

***

(25)
The following is a DFT calculation (PBE) of SrScTl after structural relaxation.

Cell: 11.8491 4.4981 7.6202 Å, 90.00 91.42 90.00°
Element x y z (fractional)
Sr 0.0000 0.0000 0.0000
Sr 0.2243 0.5000 0.2255
Sr 0.5000 0.5000 0.0000
Sr 0.7243 0.0000 0.2255
Sc 0.1467 0.0000 0.5686
Sc 0.4391 0.0000 0.4560
Sc 0.6467 0.5000 0.5686
Sc 0.9391 0.5000 0.4560
Tl 0.2822 0.0000 0.9071
Tl 0.3345 0.5000 0.6332
Tl 0.7822 0.5000 0.9071
Tl 0.8345 0.0000 0.6332

Properties
Theoretical density ... 5.51 Mg/m³
Magnetic moment ... 0.000 μB per atom
SG ... No. 8
ΔE_f ... 0.056 eV/atom